Compound: Zr2ScSn
Source: Alexandria
Functional: PBE-GGA
Structure: optimized geometry

Structure (POSCAR):
```
Zr2ScSn
1.0
8.131 0.000 0.000
0.000 8.131 0.000
4.065 4.065 2.938
Zr Sn Sc
4 2 2
direct
0.375 0.360 0.750
0.110 0.625 0.250
0.640 0.125 0.250
0.875 0.890 0.750
0.000 0.000 0.000
0.750 0.250 0.500
0.500 0.500 0.000
0.250 0.750 0.500
```

Summary:
Symmetry = I-42d, No. 122
E_tot = -6.755 eV/atom
Formation enthalpy at 0 K = 102 meV/atom
Total magnetization = 0.000 μB/atom
Crystal system = tetragonal
DOS(E_F) = 7.1 states/eV/cell

***

Compound: Sm3Mg2Pb6
Source: Alexandria
Functional: PBE-GGA
Structure: optimized geometry

Structure (POSCAR):
```
Sm3Mg2Pb6
1.0
-3.796 2.740 0.903
-1.143 -0.058 -4.629
-5.807 -13.531 4.058
Pb Sm Mg
6 3 2
direct
0.924 0.424 0.847
0.076 0.576 0.153
0.734 0.734 0.469
0.266 0.266 0.531
0.576 0.076 0.153
0.424 0.924 0.847
0.840 0.840 0.681
0.160 0.160 0.319
0.000 0.000 0.000
0.361 0.361 0.721
0.639 0.639 0.279
```

Summary:
Symmetry = I4/mmm, No. 139
E_tot = -3.843 eV/atom
Formation enthalpy at 0 K = -244 meV/atom
Total magnetization = 0.000 μB/atom
Crystal system = tetragonal
DOS(E_F) = 5.9 states/eV/cell

***

Compound: AcMg2Ni2Sn2
Source: Alexandria
Functional: PBE-GGA
Structure: optimized geometry

Structure (POSCAR):
```
AcMg2Ni2Sn2
1.0
-3.665 -0.953 2.360
-2.684 -3.322 -1.291
2.559 -7.130 5.314
Mg Ac Ni Sn
2 1 2 2
direct
0.138 0.138 0.585
0.862 0.862 0.415
0.000 0.000 0.000
0.438 0.438 0.685
0.562 0.562 0.315
0.251 0.251 0.248
0.749 0.749 0.752
```

Summary:
Symmetry = R-3m, No. 166
E_tot = -4.195 eV/atom
Formation enthalpy at 0 K = -357 meV/atom
Total magnetization = 0.000 μB/atom
Crystal system = trigonal
DOS(E_F) = 3.8 states/eV/cell

***

Compound: LiSm2TmSe5
Source: Alexandria
Functional: PBE-GGA
Structure: optimized geometry

Structure (POSCAR):
```
LiSm2TmSe5
1.0
-4.055 -0.505 -0.261
3.026 -8.209 0.990
-0.932 1.138 12.285
Se Tm Sm Li
10 2 4 2
direct
0.285 0.569 0.661
0.307 0.615 0.344
0.500 0.000 0.784
0.048 0.095 0.072
0.693 0.385 0.844
0.952 0.905 0.572
0.715 0.431 0.161
0.361 0.723 0.998
0.639 0.277 0.498
0.500 0.000 0.284
0.197 0.393 0.003
0.803 0.607 0.503
0.126 0.252 0.296
0.893 0.786 0.185
0.107 0.214 0.685
0.874 0.748 0.796
0.514 0.027 0.981
0.486 0.973 0.481
```

Summary:
Symmetry = Cmc2_1, No. 36
E_tot = -5.427 eV/atom
Total magnetization = 0.000 μB/atom
Crystal system = orthorhombic
ΔE_f (raw) = -1.733 eV/atom

***

Compound: Ho3Tm6Tl
Source: Alexandria
Functional: PBE-GGA
Structure: optimized geometry

Structure (POSCAR):
```
Ho3Tm6Tl
1.0
-3.341 0.119 -0.887
-0.750 -12.496 1.144
-3.319 3.964 13.040
Tl Tm Ho
2 12 6
direct
0.750 0.034 0.721
0.250 0.966 0.279
0.250 0.658 0.882
0.250 0.226 0.285
0.250 0.193 0.925
0.250 0.884 0.531
0.250 0.249 0.692
0.250 0.510 0.309
0.750 0.774 0.715
0.750 0.490 0.691
0.750 0.751 0.308
0.750 0.342 0.118
0.750 0.807 0.075
0.750 0.116 0.469
0.250 0.371 0.497
0.250 0.926 0.899
0.750 0.074 0.101
0.750 0.629 0.503
0.750 0.423 0.903
0.250 0.577 0.097
```

Summary:
Symmetry = P2_1/m, No. 11
E_tot = -4.273 eV/atom
Formation enthalpy at 0 K = 20 meV/atom
Total magnetization = 0.000 μB/atom
E above lowest polymorph = 0.00 kJ/mol of atoms
Crystal system = monoclinic
DOS(E_F) = 28.7 states/eV/cell

***

Compound: TcMoAs
Source: Alexandria
Functional: PBE-GGA
Structure: optimized geometry

Structure (POSCAR):
```
TcMoAs
1.0
-3.928 2.068 1.090
-3.589 -1.673 -2.283
3.344 -1.201 2.876
As Tc Mo
1 1 1
direct
0.999 0.999 0.000
0.668 0.668 0.000
0.333 0.333 0.000
```

Summary:
Symmetry = Imm2, No. 44
E_tot = -8.544 eV/atom
Formation enthalpy at 0 K = 72 meV/atom
Total magnetization = 0.000 μB/atom
E above lowest polymorph = 12.41 kJ/mol of atoms
Crystal system = orthorhombic
DOS(E_F) = 1.6 states/eV/cell

***

Compound: Zr2NiSe
Source: Alexandria
Functional: PBE-GGA
Structure: optimized geometry

Structure (POSCAR):
```
Zr2NiSe
1.0
-0.958 4.322 1.565
-4.234 0.965 1.785
-0.485 0.775 4.606
Zr Ni Se
2 1 1
direct
0.000 0.000 0.000
0.250 0.250 0.250
0.500 0.500 0.500
0.750 0.750 0.750
```

Summary:
Symmetry = F-43m, No. 216
E_tot = -6.422 eV/atom
Total magnetization = 0.172 μB/atom
Crystal system = cubic
DOS(E_F) = 4.3 states/eV/cell
ΔE_f (raw) = 0.168 eV/atom

***

Compound: MnTlCdSe3
Source: Alexandria
Functional: PBE-GGA
Structure: optimized geometry

Structure (POSCAR):
```
MnTlCdSe3
1.0
-0.944 -3.237 1.804
4.302 2.050 5.930
-11.109 4.146 1.627
Mn Cd Se Tl
2 2 6 2
direct
0.250 0.666 0.111
0.750 0.334 0.889
0.250 0.114 0.622
0.750 0.886 0.378
0.250 0.554 0.882
0.750 0.899 0.160
0.750 0.261 0.525
0.750 0.446 0.118
0.250 0.739 0.475
0.250 0.101 0.840
0.750 0.689 0.692
0.250 0.311 0.308
```

Summary:
Symmetry = P2_1/m, No. 11
E_tot = -4.255 eV/atom
Total magnetization = 0.666 μB/atom
Crystal system = monoclinic
DOS(E_F) = 1.9 states/eV/cell
ΔE_f (raw) = -0.437 eV/atom

***

Compound: LaVN3
Source: Alexandria
Functional: PBE-GGA
Structure: optimized geometry

Structure (POSCAR):
```
LaVN3
1.0
5.404 0.000 0.000
0.000 8.647 0.000
0.000 0.000 6.026
V La N
4 4 12
direct
0.500 0.250 0.548
0.000 0.750 0.048
0.500 0.750 0.452
0.000 0.250 0.952
0.500 0.500 0.000
0.000 0.500 0.500
0.000 0.000 0.500
0.500 0.000 0.000
0.500 0.943 0.586
0.500 0.443 0.414
0.500 0.057 0.414
0.500 0.557 0.586
0.750 0.250 0.750
0.000 0.443 0.086
0.000 0.057 0.086
0.250 0.250 0.750
0.250 0.750 0.250
0.000 0.557 0.914
0.750 0.750 0.250
0.000 0.943 0.914
```

Summary:
Symmetry = Imma, No. 74
E_tot = -8.697 eV/atom
Total magnetization = 0.000 μB/atom
Crystal system = orthorhombic
DOS(E_F) = 3.2 states/eV/cell
ΔE_f (raw) = -0.892 eV/atom

***

Compound: La5Sm2Tl4
Source: Alexandria
Functional: PBE-GGA
Structure: optimized geometry

Structure (POSCAR):
```
La5Sm2Tl4
1.0
-0.665 3.476 0.210
-4.539 -1.329 7.617
8.648 1.255 6.590
La Tl Sm
5 4 2
direct
0.000 0.461 0.336
0.000 0.500 0.000
0.000 0.539 0.664
0.000 0.158 0.861
0.000 0.842 0.139
0.500 0.201 0.125
0.500 0.799 0.875
0.500 0.757 0.423
0.500 0.243 0.577
0.000 0.079 0.362
0.000 0.921 0.638
```

Summary:
Symmetry = P2/m, No. 10
E_tot = -4.203 eV/atom
Formation enthalpy at 0 K = -245 meV/atom
Total magnetization = 0.000 μB/atom
E above lowest polymorph = 0.00 kJ/mol of atoms
Crystal system = monoclinic
DOS(E_F) = 14.2 states/eV/cell

***

Compound: Sm7Co2Pd2
Source: Alexandria
Functional: PBE-GGA
Structure: optimized geometry

Structure (POSCAR):
```
Sm7Co2Pd2
1.0
-5.838 -2.419 2.284
3.071 -1.905 5.831
0.701 6.453 1.739
Sm Co Pd
7 2 2
direct
0.500 0.257 0.000
0.000 0.000 0.000
0.500 0.751 0.500
0.000 0.743 0.500
0.500 0.249 0.500
0.500 0.743 0.000
0.000 0.257 0.500
0.294 0.000 0.706
0.706 0.000 0.294
0.817 0.500 0.817
0.183 0.500 0.183
```

Summary:
Symmetry = Cmmm, No. 65
E_tot = -5.463 eV/atom
Formation enthalpy at 0 K = -224 meV/atom
Total magnetization = 0.000 μB/atom
Crystal system = orthorhombic
DOS(E_F) = 7.8 states/eV/cell

***

Compound: NdNpPt10
Source: Alexandria
Functional: PBE-GGA
Structure: optimized geometry

Structure (POSCAR):
```
NdNpPt10
1.0
4.445 0.000 0.000
0.000 5.397 0.000
0.000 0.000 9.325
Pt Nd Np
10 1 1
direct
0.500 0.251 0.748
0.500 0.749 0.748
0.500 0.251 0.252
0.500 0.749 0.252
0.000 0.500 0.170
0.000 0.500 0.830
0.500 0.500 0.000
0.000 0.000 0.336
0.000 0.000 0.664
0.500 0.000 0.500
0.000 0.000 0.000
0.000 0.500 0.500
```

Summary:
Symmetry = Pmmm, No. 47
E_tot = -7.080 eV/atom
Formation enthalpy at 0 K = -571 meV/atom
Total magnetization = 0.297 μB/atom
Crystal system = orthorhombic
DOS(E_F) = 19.6 states/eV/cell

***

Compound: BeTcIr
Source: Alexandria
Functional: PBE-GGA
Structure: optimized geometry

Structure (POSCAR):
```
BeTcIr
1.0
-1.259 0.563 2.404
-2.293 -3.235 -0.443
4.623 -3.726 3.292
Be Tc Ir
2 2 2
direct
0.284 0.755 0.467
0.284 0.255 0.664
0.784 0.255 0.983
0.284 0.755 0.122
0.784 0.255 0.373
0.784 0.755 0.738
```

Summary:
Symmetry = Pmm2, No. 25
E_tot = -7.878 eV/atom
Formation enthalpy at 0 K = -227 meV/atom
Total magnetization = 0.000 μB/atom
E above lowest polymorph = 13.47 kJ/mol of atoms
Crystal system = orthorhombic
DOS(E_F) = 3.2 states/eV/cell

***

Compound: Ir2PdRhS
Source: Alexandria
Functional: PBE-GGA
Structure: optimized geometry

Structure (POSCAR):
```
Ir2PdRhS
1.0
4.665 0.000 0.000
0.000 4.893 0.000
0.000 0.000 4.665
Rh Pd S Ir
1 1 1 2
direct
0.000 0.000 0.000
0.000 0.500 0.000
0.500 0.500 0.500
0.500 0.000 0.000
0.000 0.000 0.500
```

Summary:
Symmetry = P4/mmm, No. 123
E_tot = -4.981 eV/atom
Total magnetization = 0.000 μB/atom
Crystal system = tetragonal
DOS(E_F) = 10.5 states/eV/cell
ΔE_f (raw) = 1.898 eV/atom

***

Compound: Li2Zn2Pd
Source: Alexandria
Functional: PBE-GGA
Structure: optimized geometry

Structure (POSCAR):
```
Li2Zn2Pd
1.0
3.595 0.000 1.576
1.675 4.128 1.068
0.019 0.052 4.844
Zn Li Pd
2 2 1
direct
0.396 0.402 0.807
0.604 0.598 0.193
0.206 0.194 0.395
0.794 0.806 0.605
0.000 0.000 0.000
```

Summary:
Symmetry = C2/m, No. 12
E_tot = -2.705 eV/atom
Formation enthalpy at 0 K = -391 meV/atom
Total magnetization = 0.000 μB/atom
E above lowest polymorph = 0.00 kJ/mol of atoms
Crystal system = monoclinic
DOS(E_F) = 1.4 states/eV/cell

***

Compound: Dy2Al2SnRu5
Source: Alexandria
Functional: PBE-GGA
Structure: optimized geometry

Structure (POSCAR):
```
Dy2Al2SnRu5
1.0
3.387 0.000 0.000
0.000 10.082 0.000
0.000 0.000 10.082
Ru Sn Al Dy
10 2 4 4
direct
0.500 0.434 0.295
0.500 0.000 0.500
0.500 0.066 0.795
0.500 0.500 0.000
0.500 0.295 0.566
0.500 0.205 0.066
0.500 0.934 0.205
0.500 0.705 0.434
0.500 0.795 0.934
0.500 0.566 0.705
0.000 0.500 0.500
0.000 0.000 0.000
0.000 0.125 0.625
0.000 0.875 0.375
0.000 0.625 0.875
0.000 0.375 0.125
0.000 0.673 0.173
0.000 0.173 0.327
0.000 0.327 0.827
0.000 0.827 0.673
```

Summary:
Symmetry = P4/mbm, No. 127
E_tot = -7.097 eV/atom
Formation enthalpy at 0 K = -390 meV/atom
Total magnetization = 0.053 μB/atom
Crystal system = tetragonal
DOS(E_F) = 24.6 states/eV/cell

***

Compound: Sm6CdPd2
Source: Alexandria
Functional: PBE-GGA
Structure: optimized geometry

Structure (POSCAR):
```
Sm6CdPd2
1.0
8.221 -0.119 -2.971
-4.429 7.149 -2.389
-0.064 0.119 8.741
Sm Cd Pd
12 2 4
direct
0.698 0.024 0.326
0.698 0.373 0.674
0.302 0.627 0.326
0.530 0.711 0.818
0.893 0.711 0.182
0.470 0.289 0.182
0.195 0.762 0.957
0.195 0.238 0.433
0.805 0.762 0.567
0.805 0.238 0.043
0.107 0.289 0.818
0.302 0.976 0.674
0.000 0.000 0.000
0.000 0.500 0.500
0.654 0.000 0.654
0.500 0.370 0.870
0.500 0.630 0.130
0.346 0.000 0.346
```

Summary:
Symmetry = Immm, No. 71
E_tot = -4.844 eV/atom
Formation enthalpy at 0 K = -442 meV/atom
Total magnetization = 0.000 μB/atom
Crystal system = orthorhombic
DOS(E_F) = 18.2 states/eV/cell

***

Compound: MnCd3Br
Source: Alexandria
Functional: PBE-GGA
Structure: optimized geometry

Structure (POSCAR):
```
MnCd3Br
1.0
-1.455 0.173 -5.159
4.302 -2.921 -1.311
-2.852 -4.494 0.654
Cd Br Mn
3 1 1
direct
0.000 0.000 0.500
0.000 0.500 0.000
0.500 0.000 0.000
0.500 0.500 0.500
0.000 0.000 0.000
```

Summary:
Symmetry = Pm-3m, No. 221
E_tot = -2.419 eV/atom
Total magnetization = 0.852 μB/atom
E above lowest polymorph = 0.00 kJ/mol of atoms
Crystal system = cubic
DOS(E_F) = 1.4 states/eV/cell
ΔE_f (raw) = 0.299 eV/atom

***

Compound: BaAc3N
Source: Alexandria
Functional: PBE-GGA
Structure: optimized geometry

Structure (POSCAR):
```
BaAc3N
1.0
5.586 0.000 0.000
0.000 5.586 0.000
0.000 0.000 5.586
N Ac Ba
1 3 1
direct
0.000 0.000 0.000
0.500 0.000 0.000
0.000 0.500 0.000
0.000 0.000 0.500
0.500 0.500 0.500
```

Summary:
Symmetry = Pm-3m, No. 221
E_tot = -4.790 eV/atom
Total magnetization = 0.000 μB/atom
Crystal system = cubic
DOS(E_F) = 5.8 states/eV/cell
ΔE_f (raw) = -0.275 eV/atom

***

Compound: ZrInSe2
Source: Alexandria
Functional: PBE-GGA
Structure: optimized geometry

Structure (POSCAR):
```
ZrInSe2
1.0
8.933 0.004 0.003
8.107 3.752 0.003
8.107 1.787 3.299
Zr In Se
1 1 2
direct
0.505 0.505 0.505
0.746 0.746 0.746
0.022 0.022 0.022
0.227 0.227 0.227
```

Summary:
Symmetry = R3m, No. 160
E_tot = -5.151 eV/atom
Total magnetization = 0.155 μB/atom
Crystal system = trigonal
DOS(E_F) = 2.5 states/eV/cell
ΔE_f (raw) = -0.587 eV/atom

***

Compound: Ac6PrRu2
Source: Alexandria
Functional: PBE-GGA
Structure: optimized geometry

Structure (POSCAR):
```
Ac6PrRu2
1.0
-8.085 -4.665 2.501
-0.886 -7.652 -4.962
1.958 -6.795 5.826
Ac Pr Ru
12 2 4
direct
0.455 0.663 0.128
0.490 0.702 0.533
0.955 0.128 0.663
0.169 0.737 0.892
0.990 0.533 0.702
0.545 0.337 0.872
0.831 0.263 0.108
0.669 0.892 0.737
0.045 0.872 0.337
0.331 0.108 0.263
0.510 0.298 0.467
0.010 0.467 0.298
0.250 0.143 0.857
0.750 0.857 0.143
0.699 0.542 0.252
0.801 0.748 0.458
0.301 0.458 0.748
0.199 0.252 0.542
```

Summary:
Symmetry = C2/c, No. 15
E_tot = -5.259 eV/atom
Formation enthalpy at 0 K = 72 meV/atom
Total magnetization = 0.000 μB/atom
Crystal system = monoclinic
DOS(E_F) = 20.1 states/eV/cell

***

Compound: La3ZrI
Source: Alexandria
Functional: PBE-GGA
Structure: optimized geometry

Structure (POSCAR):
```
La3ZrI
1.0
-5.608 -0.489 1.741
-0.534 -4.972 -3.118
1.728 -3.125 4.687
La Zr I
3 1 1
direct
0.500 0.000 0.000
0.000 0.500 0.000
0.000 0.000 0.500
0.500 0.500 0.500
0.000 0.000 0.000
```

Summary:
Symmetry = Pm-3m, No. 221
E_tot = -4.625 eV/atom
Total magnetization = 0.217 μB/atom
E above lowest polymorph = 13.79 kJ/mol of atoms
Crystal system = cubic
DOS(E_F) = 7.8 states/eV/cell
ΔE_f (raw) = 0.351 eV/atom